Record 1
{"formula": "Nb2CoMoRu", "functional": "PBE", "state": "optimized geometry", "cell": [[4.752, 0.000, 0.000], [0.000, 4.752, 0.000], [0.000, 0.000, 4.627]], "species": ["Nb", "Nb", "Co", "Mo", "Ru"], "frac_coords": [[0.000, 0.500, 0.000], [0.500, 0.000, 0.000], [0.000, 0.000, 0.500], [0.500, 0.500, 0.500], [0.500, 0.500, 0.000]], "formation_energy_mev_per_atom": 1549.0, "crystal_system": "tetragonal", "space_group": "P4/mmm (123)"}

=====

Record 2
{"formula": "Nb2Co2MoRu5", "functional": "PBE", "state": "optimized geometry", "cell": [[8.651, 0.000, 0.000], [0.000, 8.651, 0.000], [0.000, 0.000, 3.902]], "species": ["Nb", "Nb", "Nb", "Nb", "Co", "Co", "Co", "Co", "Mo", "Mo", "Ru", "Ru", "Ru", "Ru", "Ru", "Ru", "Ru", "Ru", "Ru", "Ru"], "frac_coords": [[0.166, 0.334, 0.000], [0.334, 0.834, 0.000], [0.666, 0.166, 0.000], [0.834, 0.666, 0.000], [0.128, 0.628, 0.000], [0.372, 0.128, 0.000], [0.628, 0.872, 0.000], [0.872, 0.372, 0.000], [0.000, 0.000, 0.000], [0.500, 0.500, 0.000], [0.000, 0.500, 0.500], [0.074, 0.798, 0.500], [0.202, 0.074, 0.500], [0.298, 0.574, 0.500], [0.426, 0.298, 0.500], [0.500, 0.000, 0.500], [0.574, 0.702, 0.500], [0.702, 0.426, 0.500], [0.798, 0.926, 0.500], [0.926, 0.202, 0.500]], "formation_energy_mev_per_atom": 29.5, "crystal_system": "tetragonal", "space_group": "P4/mbm (127)"}

=====

Record 3
{"formula": "Nb2CoMoSe", "functional": "PBE", "state": "optimized geometry", "cell": [[4.638, 0.000, 0.000], [0.000, 4.638, 0.000], [0.000, 0.000, 4.471]], "species": ["Nb", "Nb", "Co", "Mo", "Se"], "frac_coords": [[0.000, 0.500, 0.000], [0.500, 0.000, 0.000], [0.000, 0.000, 0.000], [0.000, 0.000, 0.500], [0.500, 0.500, 0.500]], "crystal_system": "tetragonal", "formation_energy_uncorrected_mev_per_atom": 825, "space_group": "P4/mmm (123)"}

=====

Record 4
{"formula": "NbCo2SiMo", "functional": "PBE", "state": "optimized geometry", "cell": [[4.099, 0.000, 0.000], [0.000, 4.099, 0.000], [0.000, 0.000, 4.519]], "species": ["Nb", "Co", "Co", "Si", "Mo"], "frac_coords": [[0.000, 0.000, 0.000], [0.000, 0.500, 0.500], [0.500, 0.000, 0.500], [0.500, 0.500, 0.500], [0.500, 0.500, 0.000]], "crystal_system": "tetragonal", "formation_energy_uncorrected_mev_per_atom": 457, "space_group": "P4/mmm (123)"}

=====

Record 5
{"formula": "Nb2CoSnMo", "functional": "PBE", "state": "optimized geometry", "cell": [[4.986, 0.000, 0.000], [0.000, 4.986, 0.000], [0.000, 0.000, 4.853]], "species": ["Nb", "Nb", "Co", "Sn", "Mo"], "frac_coords": [[0.000, 0.500, 0.000], [0.500, 0.000, 0.000], [0.000, 0.000, 0.500], [0.500, 0.500, 0.000], [0.500, 0.500, 0.500]], "formation_energy_mev_per_atom": 2302.2, "crystal_system": "tetragonal", "space_group": "P4/mmm (123)"}

=====

Record 6
{"formula": "TaNbCoMo", "functional": "PBE", "state": "optimized geometry", "cell": [[0.000, 3.160, 3.160], [3.160, 0.000, 3.160], [3.160, 3.160, 0.000]], "species": ["Ta", "Nb", "Co", "Mo"], "frac_coords": [[0.000, 0.000, 0.000], [0.500, 0.500, 0.500], [0.250, 0.250, 0.250], [0.750, 0.750, 0.750]], "formation_energy_mev_per_atom": -101.5, "crystal_system": "cubic", "space_group": "F-43m (216)"}

=====

Record 7
{"formula": "TaNbCoMo2", "functional": "PBE", "state": "optimized geometry", "cell": [[4.693, 0.000, 0.000], [0.000, 4.693, 0.000], [0.000, 0.000, 4.862]], "species": ["Ta", "Nb", "Co", "Mo", "Mo"], "frac_coords": [[0.000, 0.000, 0.000], [0.000, 0.000, 0.500], [0.500, 0.500, 0.500], [0.000, 0.500, 0.000], [0.500, 0.000, 0.000]], "formation_energy_mev_per_atom": 2094.8, "crystal_system": "tetragonal", "space_group": "P4/mmm (123)"}

=====

Record 8
{"formula": "NdCo10Mo2", "functional": "PBE", "state": "optimized geometry", "cell": [[-2.346, 4.241, 4.252], [2.346, -4.241, 4.252], [2.346, 4.241, -4.252]], "species": ["Nd", "Co", "Co", "Co", "Co", "Co", "Co", "Co", "Co", "Co", "Co", "Mo", "Mo"], "frac_coords": [[0.000, 0.000, 0.000], [0.000, 0.000, 0.500], [0.000, 0.500, 0.000], [0.215, 0.500, 0.715], [0.225, 0.725, 0.500], [0.360, 0.000, 0.360], [0.500, 0.000, 0.000], [0.500, 0.500, 0.500], [0.640, 0.000, 0.640], [0.775, 0.275, 0.500], [0.785, 0.500, 0.285], [0.359, 0.359, 0.000], [0.641, 0.641, 0.000]], "formation_energy_mev_per_atom": 4.4, "crystal_system": "orthorhombic", "space_group": "Immm (71)"}

=====

| no. | DOS at the Fermi energy (states/eV/f.u.) | raw total energy (eV/atom) |
| --- | --- | --- |
| 1 | 8.81 | -7.92 |
| 2 | 13.70 | -9.13 |
| 3 | 6.80 | -7.49 |
| 4 | 2.24 | -7.65 |
| 5 | 10.18 | -6.11 |
| 6 | 2.18 | -10.07 |
| 7 | 9.04 | -8.04 |
| 8 | 15.89 | -7.49 |